Entry 1:
Entry from Alexandria via LeMat-Bulk: an optimized crystal structure of La2TbPmNd4 (PBE).

Properties
Calculated formation energy (eV per atom): 0.018
Magnetic moment (μB/cell): 0.000

CIF file:
```
data_La2TbPmNd4
_symmetry_space_group_name_H-M 'P 1 2/m 1'
_symmetry_Int_Tables_number 10
_cell_length_a 5.1940
_cell_length_b 5.2032
_cell_length_c 10.4418
_cell_angle_alpha 90.00
_cell_angle_beta 90.14
_cell_angle_gamma 90.00
loop_
_symmetry_equiv_pos_as_xyz
'x,y,z'
'-x,-y,-z'
'-x,y,-z'
'x,-y,z'
loop_
_atom_site_label
_atom_site_fract_x
_atom_site_fract_y
_atom_site_fract_z
La1 0.0000 0.0000 0.0000
La2 0.5000 0.5000 0.5000
Tb1 0.0000 0.0000 0.5000
Pm1 0.5000 0.5000 0.0000
Nd1 0.9998 0.5000 0.2509
Nd2 0.5004 0.0000 0.2514
```

Entry 2:
Entry from Alexandria via LeMat-Bulk: an optimized crystal structure of TbPa2AlN5 (PBE).

Properties
Total DFT energy (no corrections) (eV per atom): -9.087
Magnetic moment (μB/cell): 0.028

CIF file:
```
data_TbPa2AlN5
_symmetry_space_group_name_H-M 'C m c 21'
_symmetry_Int_Tables_number 36
_cell_length_a 3.4463
_cell_length_b 13.6113
_cell_length_c 10.9372
_cell_angle_alpha 90.00
_cell_angle_beta 90.00
_cell_angle_gamma 90.00
loop_
_symmetry_equiv_pos_as_xyz
'x,y,z'
'-x,-y,z+1/2'
'-x,y,z'
'x,-y,z+1/2'
'x+1/2,y+1/2,z'
'-x+1/2,-y+1/2,z+1/2'
'-x+1/2,y+1/2,z'
'x+1/2,-y+1/2,z+1/2'
loop_
_atom_site_label
_atom_site_fract_x
_atom_site_fract_y
_atom_site_fract_z
Tb1 0.0000 0.2150 0.0000
Pa1 0.0000 0.1242 0.2653
Pa2 0.0000 0.1381 0.7164
Al1 0.0000 0.4958 0.0075
N1 0.0000 0.0454 0.0682
N2 0.0000 0.2880 0.3426
N3 0.0000 0.2939 0.6610
N4 0.0000 0.3708 0.0844
N5 0.0000 0.4739 0.8311
```

Entry 3:
Entry from Alexandria via LeMat-Bulk: an optimized crystal structure of RbDyGaS4 (PBE).

Properties
Total DFT energy (no corrections) (eV per atom): -4.818
Magnetic moment (μB/cell): 0.266

CIF file:
```
data_RbDyGaS4
_symmetry_space_group_name_H-M 'P 1 21/m 1'
_symmetry_Int_Tables_number 11
_cell_length_a 6.8897
_cell_length_b 5.7022
_cell_length_c 9.5230
_cell_angle_alpha 90.00
_cell_angle_beta 105.73
_cell_angle_gamma 90.00
loop_
_symmetry_equiv_pos_as_xyz
'x,y,z'
'-x,-y,-z'
'-x,y+1/2,-z'
'x,-y+1/2,z'
loop_
_atom_site_label
_atom_site_fract_x
_atom_site_fract_y
_atom_site_fract_z
Rb1 0.2451 0.2500 0.4570
Dy1 0.2456 0.2500 0.9427
Ga1 0.2458 0.7500 0.1700
S1 0.0489 0.7500 0.3190
S2 0.0805 0.7500 0.9296
S3 0.4918 0.5171 0.8006
```

Entry 4:
Entry from Alexandria via LeMat-Bulk: an optimized crystal structure of PuZnAsAu (PBE).

Properties
Calculated formation energy (eV per atom): -0.375
Magnetic moment (μB/cell): 21.595

CIF file:
```
data_PuZnAsAu
_symmetry_space_group_name_H-M 'F -4 3 m'
_symmetry_Int_Tables_number 216
_symmetry_space_group_name_Hall 'F -4 2 3'
_cell_length_a 6.8913
_cell_length_b 6.8913
_cell_length_c 6.8913
_cell_angle_alpha 90.00
_cell_angle_beta 90.00
_cell_angle_gamma 90.00
loop_
_atom_site_label
_atom_site_fract_x
_atom_site_fract_y
_atom_site_fract_z
Pu1 0.0000 0.0000 0.0000
Zn1 0.0000 0.0000 0.5000
As1 0.2500 0.2500 0.2500
Au1 0.2500 0.2500 0.7500
```

Entry 5:
Entry from Alexandria via LeMat-Bulk: an optimized crystal structure of Pr2Dy3Th4 (PBE).

Properties
Calculated formation energy (eV per atom): 0.060
Magnetic moment (μB/cell): 0.000

CIF file:
```
data_Pr2Dy3Th4
_symmetry_space_group_name_H-M 'C 1 2/m 1'
_symmetry_Int_Tables_number 12
_cell_length_a 18.7196
_cell_length_b 3.6087
_cell_length_c 9.7684
_cell_angle_alpha 90.00
_cell_angle_beta 115.44
_cell_angle_gamma 90.00
loop_
_symmetry_equiv_pos_as_xyz
'x,y,z'
'-x,-y,-z'
'-x,y,-z'
'x,-y,z'
'x+1/2,y+1/2,z'
'-x+1/2,-y+1/2,-z'
'-x+1/2,y+1/2,-z'
'x+1/2,-y+1/2,z'
loop_
_atom_site_label
_atom_site_fract_x
_atom_site_fract_y
_atom_site_fract_z
Pr1 0.1634 0.0000 0.4992
Dy1 0.0000 0.5000 0.5000
Dy2 0.1466 0.5000 0.1650
Th1 0.0251 0.0000 0.8369
Th2 0.1841 0.5000 0.8409
```

Entry 6:
Entry from Alexandria via LeMat-Bulk: an optimized crystal structure of MnPdAu (PBE).

Properties
Energy above the most stable polymorph in this dataset (eV/f.u.): 0.03
Calculated formation energy (eV per atom): -0.148
Magnetic moment (μB/cell): 8.634

CIF file:
```
data_MnPdAu
_symmetry_space_group_name_H-M 'I 4 m m'
_symmetry_Int_Tables_number 107
_symmetry_space_group_name_Hall 'I 4 -2'
_cell_length_a 3.0155
_cell_length_b 3.0155
_cell_length_c 10.6292
_cell_angle_alpha 90.00
_cell_angle_beta 90.00
_cell_angle_gamma 90.00
loop_
_atom_site_label
_atom_site_fract_x
_atom_site_fract_y
_atom_site_fract_z
Mn1 0.0000 0.0000 0.0000
Pd1 0.0000 0.0000 0.6512
Au1 0.0000 0.0000 0.3354
```

Question: Number 3 is which compound?
Answer: RbDyGaS4

Question: Number 5 is which compound?
Answer: Pr2Dy3Th4

Question: magnetic moment of number 4 (PuZnAsAu)?
Answer: 21.595 μB/cell

Question: Among the records above, which one has the highest magnetic moment?
Answer: PuZnAsAu